(1)
First-principles (PBE) data for a relaxed structure of CaZr2As2, as listed in Alexandria.

```
10
Lattice="7.6193 0.0000 0.0000 0.0000 7.6193 0.0000 0.0000 0.0000 3.6548" Properties=species:S:1:pos:R:3 pbc="T T T"
As 2.7137 6.5234 0.0000
As 6.5234 4.9056 0.0000
As 4.9056 1.0959 0.0000
As 1.0959 2.7137 0.0000
Ca 0.0000 0.0000 0.0000
Ca 3.8097 3.8097 0.0000
Zr 1.1076 4.9173 1.8274
Zr 4.9173 6.5117 1.8274
Zr 6.5117 2.7020 1.8274
Zr 2.7020 1.1076 1.8274
```

Results
Crystal system = tetragonal
Energy = -6.561 eV/atom
SG = P4/mbm (127)
Formation enthalpy at 0 K = -0.8820 eV per atom
DOS(E_F) = 4.7 states/eV/cell
Energy above the lowest structure with this stoichiometry = 0.00 eV per formula unit

***

(2)
First-principles (PBE) data for a relaxed structure of CaZr2As, as listed in Alexandria.

```
8
Lattice="-7.8544 2.0121 1.6812 -1.8284 -8.0085 1.0428 -4.1777 -2.7800 4.2017" Properties=species:S:1:pos:R:3 pbc="T T T"
As 0.0000 0.0000 0.0000
As -8.4367 -1.8830 3.6225
Ca -4.8414 -2.9982 1.3620
Ca -5.4237 -6.8933 3.3032
Zr -6.6584 -0.3164 2.3335
Zr -2.6925 -5.5708 1.8103
Zr -6.6534 -3.8479 4.1095
Zr -11.7166 -7.8176 5.5980
```

Results
Crystal system = tetragonal
Energy = -6.057 eV/atom
SG = I-42d (122)
Formation enthalpy at 0 K = -0.1202 eV per atom
DOS(E_F) = 11.6 states/eV/cell